Entry 1:
First-principles (SCAN) data for a crystal of CrCd2Mo relaxed with PBEsol, as listed in Alexandria.

Summary:
The value obtained for the calculated volume is 67 Å³/cell. The value obtained for the calculated formation energy is 0.282 eV/atom. The calculation puts the energy above the most stable polymorph in this dataset at 0.000 eV per formula unit. Its size of the total moment is 0.72 Bohr magnetons per cell. For the final energy, the calculation gives -28.243 eV/atom. The crystal system is tetragonal.

Unit cell a=3.0970 b=3.0970 c=6.9649 alpha=90.00 beta=90.00 gamma=90.00
With the nearest neighbours (Å) after each atom.
Fractional positions:
Cd1 0.0000 0.0000 0.9844  4 Mo 2.96, 8 Cd 2.98-3.10, 1 Cr 3.08
Cd2 0.5000 0.5000 0.2749  4 Cr 2.88, 1 Mo 2.95, 8 Cd 2.98-3.10
Cr1 0.0000 0.0000 0.5425  4 Mo 2.44
Mo1 0.5000 0.5000 0.6982  4 Cr 2.44



Entry 2:
First-principles (SCAN) data for a crystal of CrCd2Mo relaxed with PBEsol, as listed in Alexandria.

Summary:
The value obtained for the calculated volume is 66 Å³/cell. The value obtained for the calculated formation energy is 0.532 eV/atom. The calculation puts the energy above the most stable polymorph in this dataset at 0.999 eV per formula unit. Its size of the total moment is 3.89 Bohr magnetons per cell. For the final energy, the calculation gives -27.993 eV/atom. The crystal system is trigonal.

Unit cell a=2.8189 b=2.8189 c=9.7313 alpha=81.67 beta=81.67 gamma=60.00
With the nearest neighbours (Å) after each atom.
Fractional positions:
Cd1 0.2474 0.2474 0.2577  6 Cd 2.82, 3 Cr 2.84, 3 Mo 2.96
Cd2 0.7526 0.7526 0.7423  6 Cd 2.82, 3 Cr 2.84, 3 Mo 2.96
Mo1 0.0000 0.0000 0.0000  6 Mo 2.82, 6 Cd 2.96
Cr1 0.5000 0.5000 0.5000  6 Cr 2.82, 6 Cd 2.84



The lowest calculated volume belongs to which entry?
number 2